Record 1
Here is a relaxed BaCdSb2Mo crystal from Alexandria. Energies are from PBE.

a b c (Å): 6.2876 6.1473 6.2876
angles (deg): 90.00 90.00 90.00
Last column: magnetic moment on the atom in μB.
Fractional positions:
Sb1 0.0000 0.0000 0.5000  -0.13
Sb2 0.5000 0.0000 0.0000  -0.12
Ba1 0.0000 0.0000 0.0000  0.07
Mo1 0.0000 0.5000 0.0000  3.76
Cd1 0.5000 0.5000 0.5000  -0.03

Results
Final energy: -2.711 eV per atom
V: 48.6 A^3/atom
Magnetization: 4.2 Bohr magnetons per cell
Energy relative to the elements, uncorrected: 1.67 eV per atom

Record 2
Here is a relaxed BaZrCd2Mo crystal from Alexandria. Energies are from PBE.

a b c (Å): 5.6943 5.2579 5.6943
angles (deg): 90.00 90.00 90.00
Last column: magnetic moment on the atom in μB.
Fractional positions:
Zr1 0.5000 0.5000 0.5000  -0.90
Cd1 0.0000 0.0000 0.5000  0.01
Cd2 0.5000 0.0000 0.0000  0.01
Ba1 0.0000 0.0000 0.0000  0.04
Mo1 0.0000 0.5000 0.0000  2.19

Results
DFT formation energy: 1.957 eV/atom
Final energy: -2.669 eV per atom
V: 34.1 A^3/atom
Magnetization: 1.3 Bohr magnetons per cell

> Which of these has the lowest final energy?

BaCdSb2Mo

> Which of these has the highest magnetization?

BaCdSb2Mo

> Among the records above, which one has the highest V?

BaCdSb2Mo

> Among the records above, which one has the lowest final energy?

BaCdSb2Mo